(1)
Density functional theory data (PBE-GGA) for a relaxed PrDyTh14 crystal.

```
data_PrDyTh14
_space_group_name_H-M_alt 'A m m 2'
_space_group_IT_number 38
_cell_length_a 11.618
_cell_length_b 7.181
_cell_length_c 12.458
_cell_angle_alpha 90.00
_cell_angle_beta 90.00
_cell_angle_gamma 90.00
loop_
_space_group_symop_operation_xyz
'x,y,z'
'-x,-y,z'
'-x,y,z'
'x,-y,z'
'x,y+1/2,z+1/2'
'-x,-y+1/2,z+1/2'
'-x,y+1/2,z+1/2'
'x,-y+1/2,z+1/2'
loop_
_atom_site_label
_atom_site_fract_x
_atom_site_fract_y
_atom_site_fract_z
Pr1 0.000 0.000 0.000
Dy1 0.000 0.000 0.499
Th1 0.000 0.249 0.247
Th2 0.250 0.000 0.665
Th3 0.252 0.000 0.166
Th4 0.252 0.249 0.415
Th5 0.500 0.000 0.332
Th6 0.500 0.000 0.832
Th7 0.500 0.250 0.082
```

Values from the calculation:
The density of states at the Fermi level comes out at 1.2343 states/eV per atom. The value obtained for the magnetization is 0.00 μB/atom.

(2)
Density functional theory data (PBE-GGA) for a relaxed Pr5Dy6Th crystal.

```
data_Pr5Dy6Th
_space_group_name_H-M_alt 'C 1 2/m 1'
_space_group_IT_number 12
_cell_length_a 6.296
_cell_length_b 10.892
_cell_length_c 11.857
_cell_angle_alpha 90.00
_cell_angle_beta 100.18
_cell_angle_gamma 90.00
loop_
_space_group_symop_operation_xyz
'x,y,z'
'-x,-y,-z'
'-x,y,-z'
'x,-y,z'
'x+1/2,y+1/2,z'
'-x+1/2,-y+1/2,-z'
'-x+1/2,y+1/2,-z'
'x+1/2,-y+1/2,z'
loop_
_atom_site_label
_atom_site_fract_x
_atom_site_fract_y
_atom_site_fract_z
Pr1 0.000 0.000 0.000
Pr2 0.000 0.167 0.500
Pr3 0.000 0.333 0.000
Dy1 0.247 0.335 0.748
Dy2 0.247 0.500 0.253
Th1 0.000 0.500 0.500
```

Values from the calculation:
The density of states at the Fermi level comes out at 1.1921 states/eV per atom. The value obtained for the magnetization is 0.00 μB/atom.

no.,energy of formation from the pure elements (eV/atom)
1,0.040
2,0.024